Entry 1:
A plane-wave DFT calculation with PBE was carried out for crystalline RbLi2Zn2 at its relaxed geometry.

Cell and atoms, written as POSCAR:
```
RbLi2Zn2
1.0
-3.644 1.528 2.800
-2.875 -3.415 -1.878
-1.622 -4.586 4.580
Rb Zn Li
1 2 2
Direct
0.000 0.000 0.000
0.384 0.384 0.232
0.616 0.616 0.768
0.250 0.750 0.500
0.750 0.250 0.500
```

Values from the calculation:
E above lowest polymorph, eV per atom: 0.018
Space-group type: I4/mmm

Entry 2:
A plane-wave DFT calculation with PBE was carried out for crystalline Be2AgRu at its relaxed geometry.

Cell and atoms, written as POSCAR:
```
Be2AgRu
1.0
-1.024 -2.453 1.157
2.716 -0.878 0.543
2.499 1.624 5.653
Ag Ru Be
1 1 2
Direct
0.500 0.750 0.750
0.500 0.250 0.250
0.000 0.552 0.449
0.000 0.948 0.051
```

Values from the calculation:
Space-group type: P4/mmm

Summary of ΔE_f in eV per atom
0.1117, -0.1363
(order as listed above)
Summary of density in g cm⁻³
2.8, 7.9
(order as listed above)
Summary of final energy in eV/atom
-1.36, -5.03
(order as listed above)